Computed, not measured: a relaxed PbSeCl2F crystal at the GGA-PBE level of DFT.

Cell: 5.6783 4.6113 5.6783 Å, 90.00 90.00 90.00°
Site moments in Bohr magnetons follow the coordinates.
Positions (direct):
Cl  0.0000  0.0000  0.5000  0.17
Cl  0.5000  0.0000  0.0000  0.15
F  0.0000  0.5000  0.0000  0.01
Pb  0.0000  0.0000  0.0000  0.00
Se  0.5000  0.5000  0.5000  1.44

Summary:
Its crystal system is tetragonal. The space-group type is P4/mmm (123). For the energy relative to the elements, uncorrected, the calculation gives -0.588 eV per atom.

***

Computed, not measured: a relaxed SiPbClF6 crystal at the GGA-PBE level of DFT.

Cell: 5.4661 7.2453 5.0725 Å, 97.70 90.44 46.66°
Positions (direct):
F  0.4812  0.4457  0.3697
F  0.9808  0.6470  0.6875
F  0.1457  0.2348  0.6368
F  0.6255  0.0322  0.3240
F  0.0594  0.4324  0.2571
F  0.5580  0.2602  0.7621
Cl  0.3123  0.8300  0.9813
Pb  0.5077  0.7809  0.4681
Si  0.3292  0.3368  0.5133

Summary:
Its crystal system is triclinic. The space-group type is P1 (1). For the energy relative to the elements, uncorrected, the calculation gives -2.412 eV per atom.

***

N(E_F)
In order: 3.802; 2.538
Unit: states/eV/cell